No. 1
DFT (PBE) results for KAgICl after structural relaxation.

## Properties
Raw formation energy ... -0.985 eV/atom
Crystal system ... orthorhombic

abc: 4.8848 5.6729 5.3748
angles: 90.00 90.00 90.00
With the nearest neighbours (Å) after each atom.
Space group Pmm2 (No. 25)
Symmetry-distinct sites (fractional):
K 0.0000 0.0000 0.0000 (multiplicity 1)  2 Cl 3.00
Ag 0.5000 0.5000 0.6264 (multiplicity 1)  2 Cl 2.65, 2 I 2.95
I 0.5000 0.0000 0.4735 (multiplicity 1)  2 Ag 2.95
Cl 0.0000 0.5000 0.8182 (multiplicity 1)  2 Ag 2.65

---

No. 2
DFT (PBE) results for K3Ag2I2Cl4 after structural relaxation.

## Properties
Raw formation energy ... -1.119 eV/atom
Crystal system ... tetragonal

abc: 5.0958 5.0958 27.5173
angles: 90.00 90.00 90.00
With the nearest neighbours (Å) after each atom.
Space group I4/mmm (No. 139)
Symmetry-distinct sites (fractional):
K 0.0000 0.0000 0.0000 (multiplicity 2)  8 Cl 3.28
K 0.0000 0.0000 0.1671 (multiplicity 4)  4 Cl 3.60, 5 I 3.70-3.72
Ag 0.0000 0.0000 0.4082 (multiplicity 4)  4 Cl 2.59
I 0.0000 0.0000 0.3023 (multiplicity 4)  1 Ag 2.92
Cl 0.0000 0.5000 0.0749 (multiplicity 8)  2 Ag 2.59

---

No. 3
DFT (PBE) results for K3Ag2I4Cl2 after structural relaxation.

## Properties
Raw formation energy ... -0.981 eV/atom
Crystal system ... tetragonal

abc: 5.6061 5.6061 27.5028
angles: 90.00 90.00 90.00
With the nearest neighbours (Å) after each atom.
Space group I4/mmm (No. 139)
Symmetry-distinct sites (fractional):
K 0.0000 0.0000 0.0000 (multiplicity 2)  8 I 3.67
K 0.0000 0.0000 0.1865 (multiplicity 4)  1 Cl 3.00
Ag 0.0000 0.0000 0.3901 (multiplicity 4)  1 Cl 2.60, 4 I 2.88
I 0.0000 0.5000 0.0859 (multiplicity 8)  2 Ag 2.88
Cl 0.0000 0.0000 0.2955 (multiplicity 4)  1 Ag 2.60

---

No. 4
DFT (PBE) results for K2AgI2Cl2 after structural relaxation.

## Properties
Raw formation energy ... -1.075 eV/atom
Crystal system ... tetragonal

abc: 5.2863 5.2863 17.3644
angles: 90.00 90.00 90.00
With the nearest neighbours (Å) after each atom.
Space group I4/mmm (No. 139)
Symmetry-distinct sites (fractional):
K 0.0000 0.0000 0.1199 (multiplicity 4)  4 Cl 3.36, 1 I 3.74
Ag 0.0000 0.0000 0.5000 (multiplicity 2)  4 Cl 2.64, 2 I 2.86
I 0.0000 0.0000 0.3351 (multiplicity 4)  1 Ag 2.86
Cl 0.0000 0.5000 0.0000 (multiplicity 4)  2 Ag 2.64

---

No. 5
DFT (PBE) results for KAgI2Cl6 after structural relaxation.

## Properties
Raw formation energy ... -0.536 eV/atom
Crystal system ... triclinic

abc: 7.3959 7.6455 7.6849
angles: 97.23 112.01 106.42
With the nearest neighbours (Å) after each atom.
Space group P-1 (No. 2)
Symmetry-distinct sites (fractional):
K 0.0000 0.0000 0.0000 (multiplicity 1)  4 Cl 3.14-3.24
Ag 0.0000 0.5000 0.5000 (multiplicity 1)  4 Cl 2.35-2.43
I 0.3459 0.1483 0.7237 (multiplicity 2)  2 Cl 2.46-2.63
Cl 0.1573 0.3698 0.3295 (multiplicity 2)  1 Ag 2.35
Cl 0.1583 0.3819 0.7760 (multiplicity 2)  1 Ag 2.43, 1 I 2.63
Cl 0.4904 0.0914 0.2686 (multiplicity 2)  1 I 2.46

---

No. 6
DFT (PBE) results for KAg2ICl2 after structural relaxation.

## Properties
Raw formation energy ... -0.864 eV/atom
Crystal system ... monoclinic

abc: 6.9934 5.8333 10.0208
angles: 90.00 109.91 90.00
With the nearest neighbours (Å) after each atom.
Space group P2_1/m (No. 11)
Symmetry-distinct sites (fractional):
K 0.2445 0.2500 0.4135 (multiplicity 2)  4 Cl 3.12-3.33
Ag 0.4519 0.0002 0.8442 (multiplicity 4)  2 Cl 2.65-2.68, 2 I 2.89-2.93, 3 Ag 2.91-2.96
I 0.1968 0.2500 0.9674 (multiplicity 2)  4 Ag 2.89-2.93
Cl 0.2194 0.7500 0.6295 (multiplicity 2)  2 Ag 2.65
Cl 0.3757 0.7500 0.3085 (multiplicity 2)  2 Ag 2.68

---

No. 7
DFT (PBE) results for KAgI2Cl after structural relaxation.

## Properties
Raw formation energy ... -0.741 eV/atom
Crystal system ... tetragonal

abc: 5.7888 5.7888 5.1938
angles: 90.00 90.00 90.00
With the nearest neighbours (Å) after each atom.
Space group P4/mmm (No. 123)
Symmetry-distinct sites (fractional):
K 0.0000 0.0000 0.0000 (multiplicity 1)  8 I 3.89, 4 Cl 4.09
Ag 0.5000 0.5000 0.5000 (multiplicity 1)  2 Cl 2.60, 4 I 2.89
I 0.0000 0.5000 0.5000 (multiplicity 2)  2 Ag 2.89
Cl 0.5000 0.5000 0.0000 (multiplicity 1)  2 Ag 2.60

---

No. 8
DFT (PBE) results for LiAgICl after structural relaxation.

## Properties
Raw formation energy ... -0.934 eV/atom
Crystal system ... monoclinic

abc: 7.5672 4.3664 7.5952
angles: 90.00 109.39 90.00
With the nearest neighbours (Å) after each atom.
Space group Cm (No. 8)
Symmetry-distinct sites (fractional):
Li 0.0000 0.0000 0.0000 (multiplicity 2)  3 Cl 2.56, 1 I 2.85
Ag 0.4775 0.0000 0.4275 (multiplicity 2)  1 Cl 2.61, 3 I 2.81
I 0.3686 0.5000 0.6015 (multiplicity 2)  3 Ag 2.81, 1 Li 2.85
Cl 0.3545 0.0000 0.0633 (multiplicity 2)  3 Li 2.56, 1 Ag 2.61

---

- Which formula does entry 3 have?
  K3Ag2I4Cl2

---

- Which formula does entry 5 have?
  KAgI2Cl6

---

- What is the formula in the first record?
  KAgICl

---

- Which value of raw formation energy does entry 8 give?
  -0.934 eV/atom